Entry 1:
# TiMo2Se2, relaxed, DFT PBEsol
# formation energy from raw total energies = 0.215 eV/atom
# spin magnetization = 0.000 μB per atom
data_TiMo2Se2
_chemical_formula_sum 'Ti2 Mo4 Se4'
_symmetry_space_group_name_H-M 'I 4/m m m'
_symmetry_Int_Tables_number 139
_symmetry_space_group_name_Hall '-I 4 2'
_cell_length_a 3.5686
_cell_length_b 3.5686
_cell_length_c 13.6696
_cell_angle_alpha 90.00
_cell_angle_beta 90.00
_cell_angle_gamma 90.00
loop_
_atom_site_label
_atom_site_fract_x
_atom_site_fract_y
_atom_site_fract_z
_atom_site_occupancy
Ti1 0.0000 0.0000 0.0000 1
Mo1 0.0000 0.5000 0.2500 1
Se1 0.0000 0.0000 0.3970 1

=====

Entry 2:
# BaScAg2, relaxed, DFT PBEsol
# ΔH_f (0 K) = -179 meV/atom
# spin magnetization = 0.000 μB per atom
# energy relative to the lowest polymorph listed for this composition = 0 meV/atom
data_BaScAg2
_chemical_formula_sum 'Ba1 Sc1 Ag2'
_symmetry_space_group_name_H-M 'P 4/m m m'
_symmetry_Int_Tables_number 123
_symmetry_space_group_name_Hall '-P 4 2'
_cell_length_a 3.5681
_cell_length_b 3.5681
_cell_length_c 7.7201
_cell_angle_alpha 90.00
_cell_angle_beta 90.00
_cell_angle_gamma 90.00
loop_
_atom_site_label
_atom_site_fract_x
_atom_site_fract_y
_atom_site_fract_z
_atom_site_occupancy
Ba1 0.0000 0.0000 0.0000 1
Sc1 0.0000 0.0000 0.5000 1
Ag1 0.5000 0.5000 0.3129 1

=====

Entry 3:
# CrCoSe2, relaxed, DFT PBEsol
# formation energy from raw total energies = 0.259 eV/atom
# spin magnetization = 0.440 μB per atom
# energy relative to the lowest polymorph listed for this composition = 105 meV/atom
data_CrCoSe2
_chemical_formula_sum 'Cr2 Co2 Se4'
_symmetry_space_group_name_H-M 'I -4 m 2'
_symmetry_Int_Tables_number 119
_symmetry_space_group_name_Hall 'I -4 -2'
_cell_length_a 3.5348
_cell_length_b 3.5348
_cell_length_c 9.5754
_cell_angle_alpha 90.00
_cell_angle_beta 90.00
_cell_angle_gamma 90.00
loop_
_atom_site_label
_atom_site_fract_x
_atom_site_fract_y
_atom_site_fract_z
_atom_site_occupancy
Cr1 0.0000 0.0000 0.0000 1
Co1 0.0000 0.5000 0.7500 1
Se1 0.0000 0.0000 0.5000 1
Se2 0.0000 0.5000 0.2500 1

=====

Entry 4:
# CsAsSCl2, relaxed, DFT PBEsol
# formation energy from raw total energies = -0.871 eV/atom
# spin magnetization = 0.000 μB per atom
data_CsAsSCl2
_chemical_formula_sum 'Cs1 As1 S1 Cl2'
_symmetry_space_group_name_H-M 'P 4/m m m'
_symmetry_Int_Tables_number 123
_symmetry_space_group_name_Hall '-P 4 2'
_cell_length_a 5.2457
_cell_length_b 5.2457
_cell_length_c 4.7331
_cell_angle_alpha 90.00
_cell_angle_beta 90.00
_cell_angle_gamma 90.00
loop_
_atom_site_label
_atom_site_fract_x
_atom_site_fract_y
_atom_site_fract_z
_atom_site_occupancy
Cs1 0.0000 0.0000 0.0000 1
As1 0.5000 0.5000 0.5000 1
S1 0.5000 0.5000 0.0000 1
Cl1 0.0000 0.5000 0.5000 1

=====

Entry 5:
# NaNbH2, relaxed, DFT PBEsol
# spin magnetization = 0.000 μB per atom
# E = -18.1 eV per formula unit
data_NaNbH2
_chemical_formula_sum 'Na4 Nb4 H8'
_symmetry_space_group_name_H-M 'I -4 2 d'
_symmetry_Int_Tables_number 122
_symmetry_space_group_name_Hall 'I -4 2bw'
_cell_length_a 5.2401
_cell_length_b 5.2401
_cell_length_c 6.7893
_cell_angle_alpha 90.00
_cell_angle_beta 90.00
_cell_angle_gamma 90.00
loop_
_atom_site_label
_atom_site_fract_x
_atom_site_fract_y
_atom_site_fract_z
_atom_site_occupancy
Na1 0.0000 0.0000 0.0000 1
Nb1 0.0000 0.0000 0.5000 1
H1 0.2015 0.7500 0.6250 1

=====

Entry 6:
# ScZn2Ag2, relaxed, DFT PBEsol
# ΔH_f (0 K) = -122 meV/atom
# spin magnetization = 0.000 μB per atom
data_ScZn2Ag2
_chemical_formula_sum 'Sc2 Zn4 Ag4'
_symmetry_space_group_name_H-M 'I 4/m m m'
_symmetry_Int_Tables_number 139
_symmetry_space_group_name_Hall '-I 4 2'
_cell_length_a 3.6767
_cell_length_b 3.6767
_cell_length_c 12.9348
_cell_angle_alpha 90.00
_cell_angle_beta 90.00
_cell_angle_gamma 90.00
loop_
_atom_site_label
_atom_site_fract_x
_atom_site_fract_y
_atom_site_fract_z
_atom_site_occupancy
Sc1 0.0000 0.0000 0.0000 1
Zn1 0.0000 0.5000 0.2500 1
Ag1 0.0000 0.0000 0.3967 1

=====

Entry 7:
# TaBiCl3, relaxed, DFT PBEsol
# formation energy from raw total energies = 0.874 eV/atom
# spin magnetization = 0.862 μB per atom
data_TaBiCl3
_chemical_formula_sum 'Ta1 Bi1 Cl3'
_symmetry_space_group_name_H-M 'P m -3 m'
_symmetry_Int_Tables_number 221
_symmetry_space_group_name_Hall '-P 4 2 3'
_cell_length_a 5.4148
_cell_length_b 5.4148
_cell_length_c 5.4148
_cell_angle_alpha 90.00
_cell_angle_beta 90.00
_cell_angle_gamma 90.00
loop_
_atom_site_label
_atom_site_fract_x
_atom_site_fract_y
_atom_site_fract_z
_atom_site_occupancy
Ta1 0.0000 0.0000 0.0000 1
Bi1 0.5000 0.5000 0.5000 1
Cl1 0.0000 0.5000 0.5000 1

=====

Entry 8:
# KLiTc, relaxed, DFT PBEsol
# ΔH_f (0 K) = 2060 meV/atom
# spin magnetization = 1.028 μB per atom
data_KLiTc
_chemical_formula_sum 'K4 Li4 Tc4'
_symmetry_space_group_name_H-M 'F -4 3 m'
_symmetry_Int_Tables_number 216
_symmetry_space_group_name_Hall 'F -4 2 3'
_cell_length_a 7.0944
_cell_length_b 7.0944
_cell_length_c 7.0944
_cell_angle_alpha 90.00
_cell_angle_beta 90.00
_cell_angle_gamma 90.00
loop_
_atom_site_label
_atom_site_fract_x
_atom_site_fract_y
_atom_site_fract_z
_atom_site_occupancy
K1 0.0000 0.0000 0.0000 1
Li1 0.2500 0.2500 0.7500 1
Tc1 0.2500 0.2500 0.2500 1

=====

Entry 9:
# Te2RhPb, relaxed, DFT PBEsol
# formation energy from raw total energies = 0.237 eV/atom
# spin magnetization = 0.000 μB per atom
data_Te2RhPb
_chemical_formula_sum 'Te2 Rh1 Pb1'
_symmetry_space_group_name_H-M 'P 4/m m m'
_symmetry_Int_Tables_number 123
_symmetry_space_group_name_Hall '-P 4 2'
_cell_length_a 5.1619
_cell_length_b 5.1619
_cell_length_c 3.4848
_cell_angle_alpha 90.00
_cell_angle_beta 90.00
_cell_angle_gamma 90.00
loop_
_atom_site_label
_atom_site_fract_x
_atom_site_fract_y
_atom_site_fract_z
_atom_site_occupancy
Te1 0.0000 0.5000 0.0000 1
Rh1 0.0000 0.0000 0.5000 1
Pb1 0.5000 0.5000 0.5000 1

=====

Entry 10:
# K2AlAs, relaxed, DFT PBEsol
# ΔH_f (0 K) = 153 meV/atom
# spin magnetization = 0.000 μB per atom
# energy relative to the lowest polymorph listed for this composition = 42 meV/atom
data_K2AlAs
_chemical_formula_sum 'K2 Al1 As1'
_symmetry_space_group_name_H-M 'P m m m'
_symmetry_Int_Tables_number 47
_cell_length_a 3.1405
_cell_length_b 5.2256
_cell_length_c 6.4496
_cell_angle_alpha 90.00
_cell_angle_beta 90.00
_cell_angle_gamma 90.00
loop_
_symmetry_equiv_pos_as_xyz
'x,y,z'
'-x,-y,-z'
'-x,-y,z'
'x,y,-z'
'x,-y,-z'
'-x,y,z'
'-x,y,-z'
'x,-y,z'
loop_
_atom_site_label
_atom_site_fract_x
_atom_site_fract_y
_atom_site_fract_z
_atom_site_occupancy
K1 0.0000 0.0000 0.2299 1
Al1 0.5000 0.5000 0.5000 1
As1 0.5000 0.5000 0.0000 1

=====

Entry 11:
# ScNbAu3, relaxed, DFT PBEsol
# ΔH_f (0 K) = 710 meV/atom
# spin magnetization = 0.052 μB per atom
data_ScNbAu3
_chemical_formula_sum 'Sc1 Nb1 Au3'
_symmetry_space_group_name_H-M 'P m -3 m'
_symmetry_Int_Tables_number 221
_symmetry_space_group_name_Hall '-P 4 2 3'
_cell_length_a 4.9804
_cell_length_b 4.9804
_cell_length_c 4.9804
_cell_angle_alpha 90.00
_cell_angle_beta 90.00
_cell_angle_gamma 90.00
loop_
_atom_site_label
_atom_site_fract_x
_atom_site_fract_y
_atom_site_fract_z
_atom_site_occupancy
Sc1 0.0000 0.0000 0.0000 1
Nb1 0.5000 0.5000 0.5000 1
Au1 0.0000 0.5000 0.5000 1

=====

Entry 12:
# CrFeSb2Ru, relaxed, DFT PBEsol
# formation energy from raw total energies = 1.241 eV/atom
# spin magnetization = 0.470 μB per atom
data_CrFeSb2Ru
_chemical_formula_sum 'Cr1 Fe1 Sb2 Ru1'
_symmetry_space_group_name_H-M 'P 4/m m m'
_symmetry_Int_Tables_number 123
_symmetry_space_group_name_Hall '-P 4 2'
_cell_length_a 4.8466
_cell_length_b 4.8466
_cell_length_c 4.3350
_cell_angle_alpha 90.00
_cell_angle_beta 90.00
_cell_angle_gamma 90.00
loop_
_atom_site_label
_atom_site_fract_x
_atom_site_fract_y
_atom_site_fract_z
_atom_site_occupancy
Cr1 0.0000 0.0000 0.0000 1
Fe1 0.5000 0.5000 0.5000 1
Sb1 0.0000 0.5000 0.0000 1
Ru1 0.0000 0.0000 0.5000 1

=====

Entry 13:
# IrSe2, relaxed, DFT PBEsol
# formation energy from raw total energies = -0.284 eV/atom
# spin magnetization = 0.000 μB per atom
data_IrSe2
_chemical_formula_sum 'Ir2 Se4'
_symmetry_space_group_name_H-M 'P n n m'
_symmetry_Int_Tables_number 58
_cell_length_a 5.0582
_cell_length_b 5.9476
_cell_length_c 3.8218
_cell_angle_alpha 90.00
_cell_angle_beta 90.00
_cell_angle_gamma 90.00
loop_
_symmetry_equiv_pos_as_xyz
'x,y,z'
'-x,-y,-z'
'-x,-y,z'
'x,y,-z'
'x+1/2,-y+1/2,-z+1/2'
'-x+1/2,y+1/2,z+1/2'
'-x+1/2,y+1/2,-z+1/2'
'x+1/2,-y+1/2,z+1/2'
loop_
_atom_site_label
_atom_site_fract_x
_atom_site_fract_y
_atom_site_fract_z
_atom_site_occupancy
Ir1 0.0000 0.0000 0.0000 1
Se1 0.2269 0.3699 0.0000 1